## DyY6Th3 (PBE-GGA)

Data for an optimized crystal structure of DyY6Th3.

Unit cell a=10.9184 b=18.8866 c=6.3911 alpha=90.00 beta=90.00 gamma=90.00
Space group Cmc2_1 (No. 36)
Inequivalent atoms, fractional coordinates:
Dy 0.0000 0.1950 0.0000 (multiplicity 4)
Y 0.0000 0.0372 0.7404 (multiplicity 4)
Y 0.0000 0.2606 0.5110 (multiplicity 4)
Y 0.1671 0.4594 0.4270 (multiplicity 8)
Y 0.2378 0.2936 0.2519 (multiplicity 8)
Th 0.0000 0.3814 0.9226 (multiplicity 4)
Th 0.1749 0.1155 0.3379 (multiplicity 8)

Results
- energy relative to the lowest polymorph listed for this composition (meV per atom) = 98
- calculated formation energy (eV/f.u.) = 2.0


## Rb2SbAs2S6 (PBE-GGA)

Data for an optimized crystal structure of Rb2SbAs2S6.

Unit cell a=12.5893 b=7.2148 c=8.2264 alpha=90.00 beta=118.94 gamma=90.00
Space group C2/m (No. 12)
Inequivalent atoms, fractional coordinates:
Rb 0.2160 0.0000 0.2119 (multiplicity 4)
Sb 0.0000 0.0000 0.5000 (multiplicity 2)
As 0.0480 0.5000 0.1896 (multiplicity 4)
S 0.0384 0.2449 0.7737 (multiplicity 8)
S 0.2500 0.0000 0.6867 (multiplicity 4)


## LiTe2Se (PBE-GGA)

Data for an optimized crystal structure of LiTe2Se.

Unit cell a=4.2094 b=4.3449 c=11.9596 alpha=90.00 beta=90.00 gamma=90.00
Space group Cmmm (No. 65)
Inequivalent atoms, fractional coordinates:
Li 0.0000 0.0000 0.0000 (multiplicity 2)
Te 0.0000 0.5000 0.1853 (multiplicity 4)
Se 0.0000 0.0000 0.5000 (multiplicity 2)


## Tb6MgCd5 (PBE-GGA)

Data for an optimized crystal structure of Tb6MgCd5.

Unit cell a=5.3132 b=15.9930 c=7.5307 alpha=90.00 beta=90.00 gamma=90.00
Space group Cmmm (No. 65)
Inequivalent atoms, fractional coordinates:
Tb 0.0000 0.0000 0.2467 (multiplicity 4)
Tb 0.0000 0.3318 0.2510 (multiplicity 8)
Mg 0.0000 0.5000 0.5000 (multiplicity 2)
Cd 0.0000 0.1600 0.5000 (multiplicity 4)
Cd 0.0000 0.1655 0.0000 (multiplicity 4)
Cd 0.0000 0.5000 0.0000 (multiplicity 2)

Results
- calculated formation energy (eV/f.u.) = -3.4


Number 1: spin magnetization 0.0 μB/cell, E_tot -6.364 eV/atom. Number 2: spin magnetization 0.0 μB/cell, E_tot -4.086 eV/atom. Number 3: spin magnetization 0.0 μB/cell, E_tot -3.031 eV/atom. Number 4: spin magnetization 0.0 μB/cell, E_tot -3.111 eV/atom.